# CrCuNF2 PBE with a Hubbard U optimized geometry
data_CrCuNF2
_symmetry_space_group_name_H-M 'P 1'
_symmetry_Int_Tables_number 1
_symmetry_space_group_name_Hall 'P 1'
_cell_length_a 3.9493
_cell_length_b 3.9493
_cell_length_c 3.8259
_cell_angle_alpha 90.00
_cell_angle_beta 90.00
_cell_angle_gamma 90.00
loop_
_atom_site_label
_atom_site_fract_x
_atom_site_fract_y
_atom_site_fract_z
_atom_site_occupancy
F1 0.0000 0.5000 0.0000 1
Cu1 0.0000 0.0000 0.0000 1
N1 0.0000 0.0000 0.5000 1
Cr1 0.5000 0.5000 0.5000 1
F2 0.5000 0.0000 0.0000 1
# - Relative energy among the computed polymorphs: 318 meV per atom